# 1
The following is a DFT calculation (GGA-PBE) of Tl4SbPb3 after structural relaxation.

Cell: 13.527 13.527 5.614 Å, 93.82 93.82 14.56°
Sites, in units of the cell vectors:
Tl (0.145, 0.145, 0.200)
Tl (0.271, 0.271, 0.259)
Tl (0.729, 0.729, 0.741)
Tl (0.855, 0.855, 0.800)
Sb (0.000, 0.000, 0.500)
Pb (0.397, 0.397, 0.317)
Pb (0.500, 0.500, 0.000)
Pb (0.603, 0.603, 0.683)

E_form (uncorrected) = 73 meV per atom
Symmetry = C2/m, No. 12


# 2
The following is a DFT calculation (GGA-PBE) of Tl2SbPb3 after structural relaxation.

Cell: 6.064 6.064 11.502 Å, 93.84 93.84 116.80°
Sites, in units of the cell vectors:
Tl (0.000, 0.000, 0.000)
Tl (0.169, 0.831, 0.500)
Tl (0.500, 0.500, 0.500)
Tl (0.831, 0.169, 0.500)
Sb (0.354, 0.646, 0.000)
Sb (0.646, 0.354, 0.000)
Pb (0.082, 0.423, 0.236)
Pb (0.249, 0.249, 0.749)
Pb (0.423, 0.082, 0.236)
Pb (0.577, 0.918, 0.764)
Pb (0.751, 0.751, 0.251)
Pb (0.918, 0.577, 0.764)

E_form (uncorrected) = 31 meV per atom
Symmetry = C2/m, No. 12
Offset from the most stable computed form = 0.0 kJ/mol of atoms


# 3
The following is a DFT calculation (GGA-PBE) of Tl2SbPb2 after structural relaxation.

Cell: 5.865 5.865 7.508 Å, 125.59 125.59 51.56°
Sites, in units of the cell vectors:
Tl (0.199, 0.199, 0.093)
Tl (0.801, 0.801, 0.907)
Sb (0.000, 0.000, 0.500)
Pb (0.397, 0.397, 0.691)
Pb (0.603, 0.603, 0.309)

E_form (uncorrected) = 19 meV per atom
Symmetry = C2/m, No. 12
Offset from the most stable computed form = 0.0 kJ/mol of atoms


# 4
The following is a DFT calculation (GGA-PBE) of Tl4Sb4Pb5 after structural relaxation.

Cell: 9.548 9.548 9.548 Å, 93.75 93.75 150.36°
Sites, in units of the cell vectors:
Tl (0.099, 0.599, 0.698)
Tl (0.401, 0.099, 0.501)
Tl (0.599, 0.901, 0.499)
Tl (0.901, 0.401, 0.302)
Sb (0.097, 0.234, 0.330)
Sb (0.234, 0.903, 0.137)
Sb (0.766, 0.097, 0.863)
Sb (0.903, 0.766, 0.670)
Pb (0.000, 0.000, 0.000)
Pb (0.308, 0.392, 0.700)
Pb (0.392, 0.692, 0.084)
Pb (0.608, 0.308, 0.916)
Pb (0.692, 0.608, 0.300)

E_form (uncorrected) = 24 meV per atom
Symmetry = I4/m, No. 87


# 5
The following is a DFT calculation (GGA-PBE) of TlSbPb4 after structural relaxation.

Cell: 9.283 9.283 11.595 Å, 90.00 90.00 158.25°
Sites, in units of the cell vectors:
Tl (0.223, 0.777, 0.500)
Tl (0.777, 0.223, 0.000)
Sb (0.339, 0.661, 0.747)
Sb (0.661, 0.339, 0.247)
Pb (0.004, 0.996, 0.747)
Pb (0.108, 0.892, 0.004)
Pb (0.326, 0.674, 0.253)
Pb (0.442, 0.558, 0.993)
Pb (0.558, 0.442, 0.493)
Pb (0.674, 0.326, 0.753)
Pb (0.892, 0.108, 0.504)
Pb (0.996, 0.004, 0.247)

E_form (uncorrected) = 36 meV per atom
Symmetry = Cmc2_1, No. 36
Offset from the most stable computed form = 0.0 kJ/mol of atoms


# 6
The following is a DFT calculation (GGA-PBE) of TlSbPb3 after structural relaxation.

Cell: 5.963 5.963 5.963 Å, 90.00 90.00 90.00°
Sites, in units of the cell vectors:
Tl (0.000, 0.000, 0.000)
Sb (0.500, 0.500, 0.500)
Pb (0.000, 0.500, 0.500)
Pb (0.500, 0.000, 0.500)
Pb (0.500, 0.500, 0.000)

E_form (uncorrected) = 466 meV per atom
Symmetry = Pm-3m, No. 221
Offset from the most stable computed form = 42.8 kJ/mol of atoms